(1)
{
  "formula": "PmZn2Cu10",
  "functional": "PBE",
  "state": "relaxed",
  "total_energy_ev_per_cell": -49.50,
  "space_group": "Fmmm, No. 69",
  "ef_mev_per_atom": -96,
  "cell": [[-3.280, 3.599, -0.485], [-2.807, 1.528, 5.638], [2.780, 5.973, 0.827]],
  "species": ["Cu", "Cu", "Cu", "Cu", "Cu", "Cu", "Cu", "Cu", "Cu", "Cu", "Zn", "Zn", "Pm"],
  "frac_coords": [[0.000, 0.500, 0.000], [0.498, 0.226, 0.778], [0.005, 0.638, 0.351], [0.644, 0.362, 0.351], [0.500, 0.500, 0.000], [0.356, 0.638, 0.649], [0.502, 0.774, 0.222], [0.995, 0.362, 0.649], [0.276, 0.226, 0.222], [0.724, 0.774, 0.778], [0.500, 0.000, 0.500], [0.000, 0.000, 0.500], [0.000, 0.000, 0.000]]
}

***

(2)
{
  "formula": "CeEr8Sc5",
  "functional": "PBE",
  "state": "relaxed",
  "total_energy_ev_per_cell": -70.33,
  "space_group": "I-4, No. 82",
  "ef_mev_per_atom": 269,
  "cell": [[-1.834, 1.776, -7.663], [2.419, -7.705, 0.116], [-6.411, 1.059, 4.797]],
  "species": ["Er", "Er", "Er", "Er", "Er", "Er", "Er", "Er", "Sc", "Sc", "Sc", "Sc", "Sc", "Ce"],
  "frac_coords": [[0.409, 0.174, 0.591], [0.181, 0.591, 0.765], [0.672, 0.915, 0.900], [0.227, 0.328, 0.243], [0.015, 0.773, 0.100], [0.584, 0.819, 0.409], [0.826, 0.416, 0.235], [0.085, 0.985, 0.757], [0.716, 0.528, 0.598], [0.500, 0.500, 0.000], [0.882, 0.284, 0.812], [0.472, 0.070, 0.188], [0.930, 0.118, 0.402], [0.250, 0.750, 0.500]]
}

***

(3)
{
  "formula": "SrZrOs2",
  "functional": "PBE",
  "state": "relaxed",
  "total_energy_ev_per_cell": -29.87,
  "de_polymorph_ev_per_atom": 0.419,
  "space_group": "Immm, No. 71",
  "ef_mev_per_atom": 705,
  "cell": [[5.513, -0.002, 0.001], [2.134, 5.083, -0.001], [-3.115, -3.607, 2.771]],
  "species": ["Os", "Os", "Sr", "Zr"],
  "frac_coords": [[0.515, 0.515, 0.000], [0.985, 0.985, 0.000], [0.250, 0.750, 0.500], [0.750, 0.250, 0.500]]
}